This record from Alexandria describes an optimized crystal structure of Pr2RuO. The functional is PBE.

Calculated values
The calculation puts the uncorrected formation energy at -1.015 eV per atom. As for the energy relative to the lowest polymorph listed for this composition: 0.000 eV per atom. Its crystal system is tetragonal. The total magnetization comes out at 0.00 μB/f.u. The electronic total energy is -6.96 eV per atom.

Geometry as CIF:
```
data_Pr2RuO
_cell_length_a 3.328
_cell_length_b 3.328
_cell_length_c 6.969
_cell_angle_alpha 90.00
_cell_angle_beta 90.00
_cell_angle_gamma 90.00
_space_group_name_H-M_alt 'P 4/m m m'
_space_group_IT_number 123
_space_group_name_Hall '-P 4 2'
loop_
_atom_site_label
_atom_site_fract_x
_atom_site_fract_y
_atom_site_fract_z
Pr1 0.000 0.000 0.234
Ru1 0.500 0.500 0.500
O1 0.500 0.500 0.000
```

=====

This record from Alexandria describes an optimized crystal structure of InHgMo3. The functional is PBE.

Calculated values
The calculation puts the formation energy at 2323 meV per atom. As for the energy relative to the lowest polymorph listed for this composition: 0.000 eV per atom. Its crystal system is cubic. The total magnetization comes out at 0.00 μB/f.u. The electronic total energy is -4.78 eV per atom.

Geometry as CIF:
```
data_InHgMo3
_cell_length_a 4.903
_cell_length_b 4.903
_cell_length_c 4.903
_cell_angle_alpha 90.00
_cell_angle_beta 90.00
_cell_angle_gamma 90.00
_space_group_name_H-M_alt 'P m -3 m'
_space_group_IT_number 221
_space_group_name_Hall '-P 4 2 3'
loop_
_atom_site_label
_atom_site_fract_x
_atom_site_fract_y
_atom_site_fract_z
In1 0.000 0.000 0.000
Hg1 0.500 0.500 0.500
Mo1 0.000 0.000 0.500
```

=====

This record from Alexandria describes an optimized crystal structure of CaH2Au2. The functional is PBE.

Calculated values
As for the energy relative to the lowest polymorph listed for this composition: 0.095 eV per atom. Its crystal system is tetragonal. The total magnetization comes out at 0.00 μB/f.u. The electronic total energy is -3.25 eV per atom.

Geometry as CIF:
```
data_CaH2Au2
_cell_length_a 3.944
_cell_length_b 3.944
_cell_length_c 9.072
_cell_angle_alpha 90.00
_cell_angle_beta 90.00
_cell_angle_gamma 90.00
_space_group_name_H-M_alt 'I 4/m m m'
_space_group_IT_number 139
_space_group_name_Hall '-I 4 2'
loop_
_atom_site_label
_atom_site_fract_x
_atom_site_fract_y
_atom_site_fract_z
Ca1 0.000 0.000 0.000
H1 0.000 0.500 0.250
Au1 0.000 0.000 0.344
```

=====

This record from Alexandria describes an optimized crystal structure of Li4CaSn2. The functional is PBE.

Calculated values
The calculation puts the formation energy at -267 meV per atom. As for the energy relative to the lowest polymorph listed for this composition: 0.113 eV per atom. Its crystal system is tetragonal. The total magnetization comes out at 0.00 μB/f.u. The electronic total energy is -2.79 eV per atom.

Geometry as CIF:
```
data_Li4CaSn2
_cell_length_a 3.982
_cell_length_b 3.982
_cell_length_c 18.546
_cell_angle_alpha 90.00
_cell_angle_beta 90.00
_cell_angle_gamma 90.00
_space_group_name_H-M_alt 'I 4/m m m'
_space_group_IT_number 139
_space_group_name_Hall '-I 4 2'
loop_
_atom_site_label
_atom_site_fract_x
_atom_site_fract_y
_atom_site_fract_z
Li1 0.000 0.000 0.155
Li2 0.000 0.500 0.250
Ca1 0.000 0.000 0.000
Sn1 0.000 0.000 0.375
```

=====

This record from Alexandria describes an optimized crystal structure of BaSc2Mn. The functional is PBE.

Calculated values
The calculation puts the formation energy at 238 meV per atom. As for the energy relative to the lowest polymorph listed for this composition: 0.000 eV per atom. Its crystal system is tetragonal. The total magnetization comes out at 1.40 μB/f.u. The electronic total energy is -5.70 eV per atom.

Geometry as CIF:
```
data_BaSc2Mn
_cell_length_a 3.295
_cell_length_b 3.295
_cell_length_c 9.543
_cell_angle_alpha 90.00
_cell_angle_beta 90.00
_cell_angle_gamma 90.00
_space_group_name_H-M_alt 'P 4/m m m'
_space_group_IT_number 123
_space_group_name_Hall '-P 4 2'
loop_
_atom_site_label
_atom_site_fract_x
_atom_site_fract_y
_atom_site_fract_z
Ba1 0.000 0.000 0.000
Sc1 0.500 0.500 0.340
Mn1 0.000 0.000 0.500
```

=====

Q: Among the records above, which one has the lowest electronic total energy?
A: Pr2RuO

=====

Copy entry 2 word for word.
This record from Alexandria describes an optimized crystal structure of InHgMo3. The functional is PBE.

Calculated values
The calculation puts the formation energy at 2323 meV per atom. As for the energy relative to the lowest polymorph listed for this composition: 0.000 eV per atom. Its crystal system is cubic. The total magnetization comes out at 0.00 μB/f.u. The electronic total energy is -4.78 eV per atom.

Geometry as CIF:
```
data_InHgMo3
_cell_length_a 4.903
_cell_length_b 4.903
_cell_length_c 4.903
_cell_angle_alpha 90.00
_cell_angle_beta 90.00
_cell_angle_gamma 90.00
_space_group_name_H-M_alt 'P m -3 m'
_space_group_IT_number 221
_space_group_name_Hall '-P 4 2 3'
loop_
_atom_site_label
_atom_site_fract_x
_atom_site_fract_y
_atom_site_fract_z
In1 0.000 0.000 0.000
Hg1 0.500 0.500 0.500
Mo1 0.000 0.000 0.500
```

=====

Q: Which formula does entry 3 have?
A: CaH2Au2